Below is crystalline Ba2Bi4Pt3 at its relaxed geometry, with properties calculated at the PBE level.

a b c (Å): 6.6286 6.6286 7.8755
angles (deg): 101.55 101.55 121.62
Element x y z (fractional)
Ba 0.6294 0.6294 0.2587
Ba 0.3706 0.3706 0.7413
Bi 0.0209 0.6956 0.7165
Bi 0.6956 0.0209 0.7165
Bi 0.9791 0.3044 0.2835
Bi 0.3044 0.9791 0.2835
Pt 0.5000 0.0000 0.0000
Pt 0.0000 0.0000 0.0000
Pt 0.0000 0.5000 0.0000

Results
Theoretical density in g cm⁻³: 10.48
Space-group type: No. 69
Energy of formation in meV/atom: -516.9
Total moment in μB per cell: 0.00